No. 1
The following is a PBE calculation of crystalline Nb3CrRu at its relaxed geometry, from the Alexandria database.

Density ... 6.46 g cm⁻³
V ... 22.19 Å³ per atom
Calculated formation energy ... 1195.9 meV per atom
Raw total energy ... -43.1 eV per cell

Cell: 4.8049 4.8049 4.8049 Å, 90.00 90.00 90.00°
Closest atoms and distances in Å follow each position.
Element x y z (fractional)
Ru: 0.0000 0.0000 0.0000  6 Nb 2.40
Nb: 0.0000 0.5000 0.0000  2 Ru 2.40
Nb: 0.0000 0.0000 0.5000  2 Ru 2.40
Nb: 0.5000 0.0000 0.0000  2 Ru 2.40
Cr: 0.5000 0.5000 0.5000  12 Nb 3.40

---

No. 2
The following is a PBE calculation of crystalline CdRe3F at its relaxed geometry, from the Alexandria database.

Density ... 7.99 g cm⁻³
V ... 28.68 Å³ per atom
ΔE_f (raw) ... 3.264 eV/atom
Raw total energy ... -23.8 eV per cell

Cell: 5.2341 5.2341 5.2341 Å, 90.00 90.00 90.00°
Closest atoms and distances in Å follow each position.
Element x y z (fractional)
Re: 0.0000 0.5000 0.0000  2 Cd 2.62
Re: 0.0000 0.0000 0.5000  2 Cd 2.62
Re: 0.5000 0.0000 0.0000  2 Cd 2.62
F: 0.5000 0.5000 0.5000  12 Re 3.70
Cd: 0.0000 0.0000 0.0000  6 Re 2.62

---

No. 3
The following is a PBE calculation of crystalline CaCrSi3 at its relaxed geometry, from the Alexandria database.

Density ... 3.19 g cm⁻³
V ... 18.36 Å³ per atom
ΔE_f (raw) ... -0.018 eV/atom
Raw total energy ... -28.0 eV per cell

Cell: 4.5110 4.5110 4.5110 Å, 90.00 90.00 90.00°
Closest atoms and distances in Å follow each position.
Element x y z (fractional)
Cr: 0.0000 0.0000 0.0000  6 Si 2.26
Ca: 0.5000 0.5000 0.5000  12 Si 3.19
Si: 0.0000 0.5000 0.0000  2 Cr 2.26
Si: 0.0000 0.0000 0.5000  2 Cr 2.26
Si: 0.5000 0.0000 0.0000  2 Cr 2.26

---

No. 4
The following is a PBE calculation of crystalline DyTmSc4 at its relaxed geometry, from the Alexandria database.

Density ... 5.35 g cm⁻³
V ... 26.43 Å³ per atom
Calculated formation energy ... 33.2 meV per atom
Raw total energy ... -68.4 eV per cell

Cell: 3.3678 8.8699 10.8135 Å, 90.00 90.00 100.94°
Closest atoms and distances in Å follow each position.
Element x y z (fractional)
Dy: 0.6634 0.3268 0.7639  7 Sc 3.32-3.46, 3 Tm 3.33-3.39, 2 Dy 3.37
Dy: 0.3366 0.6732 0.2639  7 Sc 3.32-3.46, 3 Tm 3.33-3.39, 2 Dy 3.37
Tm: 0.7799 0.5597 0.5200  3 Dy 3.33-3.39, 7 Sc 3.36-3.44, 2 Tm 3.37
Tm: 0.2201 0.4403 0.0200  3 Dy 3.33-3.39, 7 Sc 3.36-3.44, 2 Tm 3.37
Sc: 0.0032 0.0064 0.2693  10 Sc 3.22-3.37, 2 Dy 3.36
Sc: 0.9968 0.9936 0.7693  10 Sc 3.22-3.37, 2 Dy 3.36
Sc: 0.8923 0.7845 0.0145  8 Sc 3.22-3.37, 2 Dy 3.32, 2 Tm 3.44
Sc: 0.1077 0.2155 0.5145  8 Sc 3.22-3.37, 2 Dy 3.32, 2 Tm 3.44
Sc: 0.6633 0.3265 0.2726  7 Sc 3.26-3.37, 3 Tm 3.36, 2 Dy 3.46
Sc: 0.3367 0.6735 0.7726  7 Sc 3.26-3.37, 3 Tm 3.36, 2 Dy 3.46
Sc: 0.4480 0.8961 0.5207  9 Sc 3.25-3.37, 2 Tm 3.38, 1 Dy 3.39
Sc: 0.5520 0.1039 0.0207  9 Sc 3.25-3.37, 2 Tm 3.38, 1 Dy 3.39

---

No. 5
The following is a PBE calculation of crystalline Hf3Al5Au12 at its relaxed geometry, from the Alexandria database.

Density ... 11.25 g cm⁻³
V ... 22.40 Å³ per atom
Calculated formation energy ... -138.0 meV per atom
Raw total energy ... -362.6 eV per cell

Cell: 13.2525 13.2525 13.2525 Å, 109.47 109.47 109.47°
Closest atoms and distances in Å follow each position.
Element x y z (fractional)
Hf: 0.7500 0.3750 0.1250  8 Au 2.77-2.88
Hf: 0.8750 0.7500 0.1250  8 Au 2.77-2.88
Hf: 0.3750 0.7500 0.6250  8 Au 2.77-2.88
Hf: 0.2500 0.1250 0.3750  8 Au 2.77-2.88
Hf: 0.8750 0.1250 0.2500  8 Au 2.77-2.88
Hf: 0.3750 0.6250 0.2500  8 Au 2.77-2.88
Hf: 0.6250 0.3750 0.7500  8 Au 2.77-2.88
Hf: 0.1250 0.8750 0.7500  8 Au 2.77-2.88
Hf: 0.7500 0.8750 0.6250  8 Au 2.77-2.88
Hf: 0.6250 0.2500 0.3750  8 Au 2.77-2.88
Hf: 0.1250 0.2500 0.8750  8 Au 2.77-2.88
Hf: 0.2500 0.6250 0.8750  8 Au 2.77-2.88
Al: 0.1250 0.3750 0.2500  4 Au 2.51
Al: 0.0000 0.5000 0.0000  6 Au 2.55
Al: 0.0000 0.0000 0.0000  6 Au 2.55
Al: 0.3750 0.2500 0.1250  4 Au 2.51
Al: 0.5000 0.0000 0.5000  6 Au 2.55
Al: 0.5000 0.5000 0.0000  6 Au 2.55
Al: 0.1250 0.7500 0.3750  4 Au 2.51
Al: 0.7500 0.1250 0.8750  4 Au 2.51
Al: 0.7500 0.6250 0.3750  4 Au 2.51
Al: 0.3750 0.1250 0.7500  4 Au 2.51
Al: 0.6250 0.8750 0.2500  4 Au 2.51
Al: 0.5000 0.5000 0.5000  6 Au 2.55
Al: 0.5000 0.0000 0.0000  6 Au 2.55
Al: 0.0000 0.0000 0.5000  6 Au 2.55
Al: 0.2500 0.3750 0.6250  4 Au 2.51
Al: 0.2500 0.8750 0.1250  4 Au 2.51
Al: 0.0000 0.5000 0.5000  6 Au 2.55
Al: 0.8750 0.2500 0.6250  4 Au 2.51
Al: 0.6250 0.7500 0.8750  4 Au 2.51
Al: 0.8750 0.6250 0.7500  4 Au 2.51
Au: 0.7212 0.1327 0.0545  2 Al 2.51-2.55, 1 Hf 2.77
Au: 0.3333 0.5545 0.4218  2 Al 2.51-2.55, 1 Hf 2.77
Au: 0.9455 0.3673 0.2788  2 Al 2.51-2.55, 1 Hf 2.77
Au: 0.5545 0.2212 0.1327  2 Al 2.51-2.55, 1 Hf 2.77
Au: 0.5885 0.7212 0.6667  2 Al 2.51-2.55, 1 Hf 2.77
Au: 0.9455 0.5782 0.1667  2 Al 2.51-2.55, 1 Hf 2.77
Au: 0.3333 0.7788 0.4115  2 Al 2.51-2.55, 1 Hf 2.77
Au: 0.0782 0.9115 0.1327  2 Al 2.51-2.55, 1 Hf 2.77
Au: 0.5782 0.9455 0.6667  2 Al 2.51-2.55, 1 Hf 2.77
Au: 0.7212 0.5885 0.1667  2 Al 2.51-2.55, 1 Hf 2.77
Au: 0.7788 0.4455 0.3673  2 Al 2.51-2.55, 1 Hf 2.77
Au: 0.8333 0.9218 0.0545  2 Al 2.51-2.55, 1 Hf 2.77
Au: 0.1327 0.7212 0.5545  2 Al 2.51-2.55, 1 Hf 2.77
Au: 0.3673 0.4218 0.0885  2 Al 2.51-2.55, 1 Hf 2.77
Au: 0.0885 0.9218 0.3673  2 Al 2.51-2.55, 1 Hf 2.77
Au: 0.4115 0.1327 0.5782  2 Al 2.51-2.55, 1 Hf 2.77
Au: 0.0885 0.1667 0.2212  2 Al 2.51-2.55, 1 Hf 2.77
Au: 0.4455 0.6667 0.0782  2 Al 2.51-2.55, 1 Hf 2.77
Au: 0.8333 0.9115 0.2788  2 Al 2.51-2.55, 1 Hf 2.77
Au: 0.1327 0.4115 0.0782  2 Al 2.51-2.55, 1 Hf 2.77
Au: 0.3673 0.9455 0.7788  2 Al 2.51-2.55, 1 Hf 2.77
Au: 0.5782 0.6327 0.4115  2 Al 2.51-2.55, 1 Hf 2.77
Au: 0.9218 0.8333 0.5545  2 Al 2.51-2.55, 1 Hf 2.77
Au: 0.7788 0.3333 0.9115  2 Al 2.51-2.55, 1 Hf 2.77
Au: 0.4218 0.3673 0.5885  2 Al 2.51-2.55, 1 Hf 2.77
Au: 0.0782 0.1667 0.4455  2 Al 2.51-2.55, 1 Hf 2.77
Au: 0.2212 0.6667 0.0885  2 Al 2.51-2.55, 1 Hf 2.77
Au: 0.1667 0.0885 0.7212  2 Al 2.51-2.55, 1 Hf 2.77
Au: 0.6327 0.0545 0.2212  2 Al 2.51-2.55, 1 Hf 2.77
Au: 0.8673 0.5885 0.9218  2 Al 2.51-2.55, 1 Hf 2.77
Au: 0.5545 0.3333 0.9218  2 Al 2.51-2.55, 1 Hf 2.77
Au: 0.5885 0.8673 0.4218  2 Al 2.51-2.55, 1 Hf 2.77
Au: 0.9115 0.8333 0.7788  2 Al 2.51-2.55, 1 Hf 2.77
Au: 0.9115 0.0782 0.6327  2 Al 2.51-2.55, 1 Hf 2.77
Au: 0.8673 0.2788 0.4455  2 Al 2.51-2.55, 1 Hf 2.77
Au: 0.1667 0.0782 0.9455  2 Al 2.51-2.55, 1 Hf 2.77
Au: 0.6327 0.5782 0.9115  2 Al 2.51-2.55, 1 Hf 2.77
Au: 0.4218 0.0545 0.3333  2 Al 2.51-2.55, 1 Hf 2.77
Au: 0.2788 0.4115 0.8333  2 Al 2.51-2.55, 1 Hf 2.77
Au: 0.2212 0.5545 0.6327  2 Al 2.51-2.55, 1 Hf 2.77
Au: 0.9218 0.0885 0.8673  2 Al 2.51-2.55, 1 Hf 2.77
Au: 0.6667 0.2212 0.5885  2 Al 2.51-2.55, 1 Hf 2.77
Au: 0.4455 0.7788 0.8673  2 Al 2.51-2.55, 1 Hf 2.77
Au: 0.0545 0.4218 0.8333  2 Al 2.51-2.55, 1 Hf 2.77
Au: 0.4115 0.2788 0.3333  2 Al 2.51-2.55, 1 Hf 2.77
Au: 0.0545 0.6327 0.7212  2 Al 2.51-2.55, 1 Hf 2.77
Au: 0.6667 0.4455 0.5782  2 Al 2.51-2.55, 1 Hf 2.77
Au: 0.2788 0.8673 0.9455  2 Al 2.51-2.55, 1 Hf 2.77

---

What is the V in the fourth record? 26.43 Å³ per atom

---

Please write out number 2 again, unchanged.
The following is a PBE calculation of crystalline CdRe3F at its relaxed geometry, from the Alexandria database.

Density ... 7.99 g cm⁻³
V ... 28.68 Å³ per atom
ΔE_f (raw) ... 3.264 eV/atom
Raw total energy ... -23.8 eV per cell

Cell: 5.2341 5.2341 5.2341 Å, 90.00 90.00 90.00°
Closest atoms and distances in Å follow each position.
Element x y z (fractional)
Re: 0.0000 0.5000 0.0000  2 Cd 2.62
Re: 0.0000 0.0000 0.5000  2 Cd 2.62
Re: 0.5000 0.0000 0.0000  2 Cd 2.62
F: 0.5000 0.5000 0.5000  12 Re 3.70
Cd: 0.0000 0.0000 0.0000  6 Re 2.62